PmTl3W2O9 | GGA+U | optimized geometry

Cell lengths 5.9344, 5.9344, 7.4013 Å; angles 90.00, 90.00, 120.00 degrees
Element x y z (fractional)
Pm 0.0000 0.0000 0.0000
Tl 0.0000 0.0000 0.5000
Tl 0.3333 0.6667 0.1748
Tl 0.6667 0.3333 0.8252
W 0.3333 0.6667 0.6602
W 0.6667 0.3333 0.3398
O 0.0000 0.5000 0.5000
O 0.1808 0.3615 0.8033
O 0.1808 0.8192 0.8033
O 0.3615 0.1808 0.1967
O 0.5000 0.0000 0.5000
O 0.5000 0.5000 0.5000
O 0.6385 0.8192 0.8033
O 0.8192 0.1808 0.1967
O 0.8192 0.6385 0.1967

Calculated values
Calculated total energy ... -98.95 eV per cell